A plane-wave DFT calculation with PBE was carried out for a relaxed structure of Tb2Fe3Co.

a = 5.1566 Å, b = 5.1566 Å, c = 5.1457 Å
α = 90.01°, β = 120.02°, γ = 120.04°
Closest atoms and distances in Å follow each position.
Fractional coordinates of all 6 atoms:
Tb 0.7491 0.3746 0.1237  9 Fe 3.01-3.03, 3 Co 3.02, 4 Tb 3.15-3.16
Tb 0.2509 0.6254 0.8763  9 Fe 3.01-3.03, 3 Co 3.02, 4 Tb 3.15-3.16
Fe 0.0000 0.0000 0.5000  2 Co 2.57, 4 Fe 2.58
Fe 0.5000 0.5000 0.5000  2 Co 2.57, 4 Fe 2.58
Fe 0.5000 0.0000 0.5000  2 Co 2.57, 4 Fe 2.58
Co 0.0000 0.0000 0.0000  6 Fe 2.57

Its volume is 16.110 Å³/atom. Its space group is R-3m. The density of states at the Fermi level comes out at 0.831 states/eV per atom. The value obtained for the energy of formation is -112 meV per atom.

=====

A plane-wave DFT calculation with PBE was carried out for a relaxed structure of Tb2Fe5Co5.

a = 3.9068 Å, b = 5.0374 Å, c = 8.6914 Å
α = 90.00°, β = 90.00°, γ = 90.00°
Closest atoms and distances in Å follow each position.
Fractional coordinates of all 12 atoms:
Fe 0.0000 0.0000 0.1686  4 Co 2.43, 2 Fe 2.44
Fe 0.0000 0.5000 0.6661  6 Co 2.43
Fe 0.0000 0.5000 0.3339  6 Co 2.43
Fe 0.5000 0.0000 0.0000  4 Fe 2.44, 4 Co 2.52
Fe 0.0000 0.0000 0.8314  4 Co 2.43, 2 Fe 2.44
Co 0.5000 0.2500 0.2505  5 Fe 2.43-2.52, 3 Co 2.51-2.52
Co 0.5000 0.7500 0.2505  5 Fe 2.43-2.52, 3 Co 2.51-2.52
Co 0.5000 0.2500 0.7495  5 Fe 2.43-2.52, 3 Co 2.51-2.52
Co 0.5000 0.5000 0.5000  4 Fe 2.43, 4 Co 2.51
Co 0.5000 0.7500 0.7495  5 Fe 2.43-2.52, 3 Co 2.51-2.52
Tb 0.0000 0.5000 0.0000  10 Fe 2.90-3.19, 8 Co 3.18
Tb 0.0000 0.0000 0.5000  6 Fe 2.88-2.90, 12 Co 3.18-3.19

Its volume is 14.254 Å³/atom. Its space group is Pmmm. The density of states at the Fermi level comes out at 0.869 states/eV per atom. The value obtained for the energy of formation is -121 meV per atom.

=====

A plane-wave DFT calculation with PBE was carried out for a relaxed structure of Tb2Fe12Co5.

a = 6.3801 Å, b = 6.3801 Å, c = 6.3801 Å
α = 82.76°, β = 82.76°, γ = 82.76°
Closest atoms and distances in Å follow each position.
Fractional coordinates of all 19 atoms:
Fe 0.6612 0.6612 0.1527  3 Co 2.42-2.60, 6 Fe 2.48-2.61
Fe 0.3388 0.3388 0.8473  3 Co 2.42-2.60, 6 Fe 2.48-2.61
Fe 0.7036 0.0000 0.2964  2 Co 2.43, 6 Fe 2.50-2.61
Fe 0.0000 0.7036 0.2964  2 Co 2.43, 6 Fe 2.50-2.61
Fe 0.2964 0.0000 0.7036  2 Co 2.43, 6 Fe 2.50-2.61
Fe 0.3388 0.8473 0.3388  3 Co 2.42-2.60, 6 Fe 2.48-2.61
Fe 0.8473 0.3388 0.3388  3 Co 2.42-2.60, 6 Fe 2.48-2.61
Fe 0.7036 0.2964 0.0000  2 Co 2.43, 6 Fe 2.50-2.61
Fe 0.6612 0.1527 0.6612  3 Co 2.42-2.60, 6 Fe 2.48-2.61
Fe 0.1527 0.6612 0.6612  3 Co 2.42-2.60, 6 Fe 2.48-2.61
Fe 0.0000 0.2964 0.7036  2 Co 2.43, 6 Fe 2.50-2.61
Fe 0.2964 0.7036 0.0000  2 Co 2.43, 6 Fe 2.50-2.61
Co 0.0000 0.0000 0.5000  8 Fe 2.42-2.43, 2 Co 2.60
Co 0.0000 0.5000 0.0000  8 Fe 2.42-2.43, 2 Co 2.60
Co 0.5000 0.0000 0.0000  8 Fe 2.42-2.43, 2 Co 2.60
Co 0.9069 0.9069 0.9069  1 Co 2.30
Co 0.0931 0.0931 0.0931  1 Co 2.30
Tb 0.3438 0.3438 0.3438  15 Fe 2.98-3.20, 4 Co 3.10-3.28
Tb 0.6562 0.6562 0.6562  15 Fe 2.98-3.20, 4 Co 3.10-3.28

Its volume is 13.367 Å³/atom. Its space group is R-3m. The density of states at the Fermi level comes out at 1.035 states/eV per atom. The value obtained for the energy of formation is -40 meV per atom.

=====

A plane-wave DFT calculation with PBE was carried out for a relaxed structure of Tb3FeCo8.

a = 4.9825 Å, b = 4.9825 Å, c = 8.6360 Å
α = 73.23°, β = 73.23°, γ = 60.00°
Closest atoms and distances in Å follow each position.
Fractional coordinates of all 12 atoms:
Tb 0.5043 0.5043 0.4870  12 Co 2.78-2.94, 3 Fe 2.99
Tb 0.3760 0.3760 0.8719  12 Co 2.92-3.00, 4 Tb 3.12-3.13
Tb 0.9935 0.9935 0.0196  12 Co 2.87-3.14, 1 Fe 2.99, 3 Tb 3.12
Co 0.4456 0.9384 0.6776  6 Co 2.45-2.53
Co 0.1886 0.1886 0.4342  6 Co 2.43-2.46
Co 0.4363 0.4363 0.1942  6 Co 2.43-2.55
Co 0.9332 0.4363 0.1942  6 Co 2.43-2.55
Co 0.6883 0.6883 0.9352  6 Co 2.53-2.55
Co 0.9384 0.4456 0.6776  6 Co 2.45-2.53
Co 0.9384 0.9384 0.6776  6 Co 2.45-2.53
Co 0.4363 0.9332 0.1942  6 Co 2.43-2.55
Fe 0.8712 0.8712 0.3865  12 Co 2.76-2.94, 4 Tb 2.99

Its volume is 14.589 Å³/atom. Its space group is R3m. The density of states at the Fermi level comes out at 1.325 states/eV per atom. The value obtained for the energy of formation is -102 meV per atom.